No. 1
Below is a relaxed structure of MnCo3Ge, with properties calculated at the PBE level.

Cell and atoms, written as extended XYZ:
```
20
Lattice="7.065 0.000 0.000 0.000 5.215 0.000 0.000 0.000 6.675" Properties=species:S:1:pos:R:3 pbc="T T T"
Mn 0.000 0.000 0.000
Mn 0.000 2.607 0.000
Mn 3.532 0.000 3.338
Mn 3.532 2.607 3.338
Co 0.918 0.018 2.473
Co 0.918 2.590 2.473
Co 1.110 1.304 4.586
Co 2.423 3.911 1.248
Co 2.614 2.625 5.811
Co 2.614 5.197 5.811
Co 4.451 0.018 0.864
Co 4.451 2.590 0.864
Co 4.642 1.304 5.427
Co 5.955 3.911 2.089
Co 6.146 2.625 4.202
Co 6.146 5.197 4.202
Ge 1.150 3.911 4.462
Ge 2.383 1.304 1.125
Ge 4.682 3.911 5.550
Ge 5.915 1.304 2.213
```

Output
Raw total energy: -6.9680 eV/atom
Total moment: 7.05 μB per formula unit

***

No. 2
Below is a relaxed structure of Mn3Co4Ge6, with properties calculated at the PBE level.

Cell and atoms, written as extended XYZ:
```
13
Lattice="2.540 -4.356 0.000 2.540 4.356 0.000 0.000 0.000 7.846" Properties=species:S:1:pos:R:3 pbc="T T T"
Mn 0.000 0.000 0.000
Mn 1.270 2.178 1.874
Mn 1.270 -2.178 1.874
Co 1.270 2.178 5.813
Co 1.270 -2.178 5.813
Co 2.540 0.000 1.873
Co 2.540 0.000 5.803
Ge 0.000 0.000 2.575
Ge 0.000 0.000 5.220
Ge 2.540 1.445 3.902
Ge 2.540 1.440 7.715
Ge 2.540 -1.440 7.715
Ge 2.540 -1.445 3.902
```

Output
Raw total energy: -6.5806 eV/atom
Total moment: 9.07 μB per formula unit

***

No. 3
Below is a relaxed structure of MnCoGe3, with properties calculated at the PBE level.

Cell and atoms, written as extended XYZ:
```
5
Lattice="4.537 0.000 0.000 0.000 4.537 0.000 0.000 0.000 4.537" Properties=species:S:1:pos:R:3 pbc="T T T"
Mn 0.000 0.000 0.000
Co 2.269 2.269 2.269
Ge 0.000 2.269 2.269
Ge 2.269 0.000 2.269
Ge 2.269 2.269 0.000
```

Output
Raw total energy: -5.5806 eV/atom
Total moment: 4.53 μB per formula unit